# 1
A plane-wave DFT calculation with GGA-PBE was carried out for crystalline Li5Mg3In at its relaxed geometry.

crystal system = monoclinic

CIF file:
```
data_Li5Mg3In
_chemical_formula_sum 'Li20 Mg12 In4'
_cell_length_a 9.539
_cell_length_b 6.642
_cell_length_c 12.831
_cell_angle_alpha 90.00
_cell_angle_beta 106.63
_cell_angle_gamma 90.00
_symmetry_space_group_name_H-M 'C 1 2/m 1'
_symmetry_Int_Tables_number 12
loop_
_symmetry_equiv_pos_as_xyz
'x,y,z'
'-x,-y,-z'
'-x,y,-z'
'x,-y,z'
'x+1/2,y+1/2,z'
'-x+1/2,-y+1/2,-z'
'-x+1/2,y+1/2,-z'
'x+1/2,-y+1/2,z'
loop_
_atom_site_label
_atom_site_type_symbol
_atom_site_fract_x
_atom_site_fract_y
_atom_site_fract_z
_atom_site_occupancy
Li1 Li 0.000 0.159 0.000 1
Li2 Li 0.081 0.000 0.238 1
Li3 Li 0.142 0.241 0.676 1
Li4 Li 0.213 0.000 0.878 1
Mg1 Mg 0.000 0.500 0.000 1
Mg2 Mg 0.000 0.500 0.500 1
Mg3 Mg 0.162 0.000 0.477 1
Mg4 Mg 0.212 0.500 0.883 1
In1 In 0.094 0.500 0.275 1
```

***

# 2
A plane-wave DFT calculation with GGA-PBE was carried out for crystalline Li5Mg2In2 at its relaxed geometry.

crystal system = orthorhombic

CIF file:
```
data_Li5Mg2In2
_chemical_formula_sum 'Li20 Mg8 In8'
_cell_length_a 14.568
_cell_length_b 8.191
_cell_length_c 6.368
_cell_angle_alpha 90.00
_cell_angle_beta 90.00
_cell_angle_gamma 90.00
_symmetry_space_group_name_H-M 'C m c e'
_symmetry_Int_Tables_number 64
_symmetry_space_group_name_Hall '-C 2ac 2'
loop_
_atom_site_label
_atom_site_type_symbol
_atom_site_fract_x
_atom_site_fract_y
_atom_site_fract_z
_atom_site_occupancy
Li1 Li 0.000 0.000 0.000 1
Li2 Li 0.158 0.177 0.364 1
Mg1 Mg 0.000 0.166 0.632 1
In1 In 0.187 0.000 0.000 1
```

***

# 3
A plane-wave DFT calculation with GGA-PBE was carried out for crystalline Li3Mg4In at its relaxed geometry.

crystal system = monoclinic

CIF file:
```
data_Li3Mg4In
_chemical_formula_sum 'Li6 Mg8 In2'
_cell_length_a 8.458
_cell_length_b 4.816
_cell_length_c 8.565
_cell_angle_alpha 90.00
_cell_angle_beta 110.41
_cell_angle_gamma 90.00
_symmetry_space_group_name_H-M 'C 1 2/m 1'
_symmetry_Int_Tables_number 12
loop_
_symmetry_equiv_pos_as_xyz
'x,y,z'
'-x,-y,-z'
'-x,y,-z'
'x,-y,z'
'x+1/2,y+1/2,z'
'-x+1/2,-y+1/2,-z'
'-x+1/2,y+1/2,-z'
'x+1/2,-y+1/2,z'
loop_
_atom_site_label
_atom_site_type_symbol
_atom_site_fract_x
_atom_site_fract_y
_atom_site_fract_z
_atom_site_occupancy
Li1 Li 0.000 0.000 0.000 1
Li2 Li 0.245 0.000 0.744 1
Mg1 Mg 0.121 0.000 0.362 1
Mg2 Mg 0.127 0.500 0.886 1
In1 In 0.000 0.500 0.500 1
```

***

Listing volume for the structures above in their given order: 779.0; 759.9; 327.0 Å³/cell.
Listing energy of formation from the pure elements for the structures above in their given order: 7.5; -3.8; -10.7 kJ per mole of atoms.